{"formula": "CsLaTcIr2", "functional": "PBE", "state": "relaxed", "formation_energy_ev_per_atom": 2.076, "dft_energy_ev_per_cell": -23.5, "sg": "P4/mmm (123)", "magmom_total_mub_per_fu": 2.3, "volume_a3_per_atom": 25.57, "lattice_angstrom": [[5.067, 0.000, 0.000], [0.000, 4.980, 0.000], [0.000, 0.000, 5.067]], "species": ["Tc", "Cs", "Ir", "Ir", "La"], "fractional_positions": [[0.000, 0.500, 0.000], [0.000, 0.000, 0.000], [0.500, 0.000, 0.000], [0.000, 0.000, 0.500], [0.500, 0.500, 0.500]]}

{"formula": "Tb2Nd7In2", "functional": "PBE", "state": "relaxed", "formation_energy_ev_per_atom": -0.042, "dft_energy_ev_per_cell": -48.6, "sg": "Imm2 (44)", "magmom_total_mub_per_fu": 0.0, "volume_a3_per_atom": 33.90, "lattice_angstrom": [[3.709, 0.000, 0.000], [1.854, 10.525, -0.308], [1.854, 4.719, 9.413]], "species": ["Tb", "Nd", "In", "Nd", "In", "Nd", "Nd", "Nd", "Nd", "Nd", "Tb"], "fractional_positions": [[0.724, 0.860, 0.692], [0.822, 0.024, 0.331], [0.500, 0.340, 0.660], [0.850, 0.468, 0.832], [0.000, 0.791, 0.209], [0.605, 0.492, 0.299], [0.150, 0.168, 0.532], [0.500, 0.034, 0.966], [0.178, 0.669, 0.976], [0.395, 0.701, 0.508], [0.276, 0.308, 0.140]]}

{"formula": "Pm2HoCu", "functional": "PBE", "state": "relaxed", "formation_energy_ev_per_atom": -0.049, "dft_energy_ev_per_cell": -18.4, "sg": "P4/mmm (123)", "magmom_total_mub_per_fu": 0.0, "volume_a3_per_atom": 27.86, "lattice_angstrom": [[3.595, 0.000, 0.000], [0.000, 3.595, 0.000], [0.000, 0.000, 8.622]], "species": ["Pm", "Ho", "Pm", "Cu"], "fractional_positions": [[0.000, 0.000, 0.203], [0.500, 0.500, 0.500], [0.000, 0.000, 0.797], [0.500, 0.500, 0.000]]}

{"formula": "CdWAu2", "functional": "PBE", "state": "relaxed", "formation_energy_ev_per_atom": 0.257, "dft_energy_ev_per_cell": -19.4, "sg": "P4mm (99)", "magmom_total_mub_per_fu": 0.0, "volume_a3_per_atom": 17.88, "lattice_angstrom": [[2.846, 0.000, 0.000], [0.000, 2.846, 0.000], [0.000, 0.000, 8.828]], "species": ["W", "Au", "Au", "Cd"], "fractional_positions": [[0.500, 0.500, 0.758], [0.500, 0.500, 0.247], [0.000, 0.000, 0.989], [0.000, 0.000, 0.506]]}

{"formula": "TaAl2Ga2", "functional": "PBE", "state": "relaxed", "formation_energy_ev_per_atom": 0.083, "dft_energy_ev_per_cell": -50.0, "sg": "P4/mbm (127)", "magmom_total_mub_per_fu": 0.0, "volume_a3_per_atom": 16.71, "lattice_angstrom": [[7.057, 0.000, 0.000], [0.000, 7.057, 0.000], [0.000, 0.000, 3.357]], "species": ["Ta", "Al", "Ga", "Ga", "Al", "Ga", "Ta", "Al", "Ga", "Al"], "fractional_positions": [[0.000, 0.000, 0.000], [0.832, 0.332, 0.500], [0.632, 0.132, 0.000], [0.368, 0.868, 0.000], [0.668, 0.832, 0.500], [0.868, 0.632, 0.000], [0.500, 0.500, 0.000], [0.332, 0.168, 0.500], [0.132, 0.368, 0.000], [0.168, 0.668, 0.500]]}

{"formula": "Ta2RuSe", "functional": "PBE", "state": "relaxed", "dft_energy_ev_per_cell": -36.8, "sg": "R3m (160)", "magmom_total_mub_per_fu": 0.0, "volume_a3_per_atom": 18.32, "formation_energy_uncorrected_ev_per_atom": -0.086, "lattice_angstrom": [[8.570, -0.026, -0.015], [7.990, 3.100, -0.015], [7.990, 1.483, 2.722]], "species": ["Ta", "Ru", "Ta", "Se"], "fractional_positions": [[0.004, 0.004, 0.004], [0.508, 0.508, 0.508], [0.245, 0.245, 0.245], [0.743, 0.743, 0.743]]}

{"formula": "Ba2LaPb", "functional": "PBE", "state": "relaxed", "formation_energy_ev_per_atom": -0.234, "dft_energy_ev_per_cell": -13.4, "sg": "P4mm (99)", "magmom_total_mub_per_fu": 1.1, "volume_a3_per_atom": 45.63, "lattice_angstrom": [[4.392, 0.016, 0.000], [-0.012, 4.392, 0.000], [0.000, 0.000, 9.460]], "species": ["La", "Pb", "Ba", "Ba"], "fractional_positions": [[0.000, 0.000, 0.565], [0.500, 0.500, 0.708], [0.000, 0.000, 0.932], [0.500, 0.500, 0.295]]}

{"formula": "InCo2Ru", "functional": "PBE", "state": "relaxed", "formation_energy_ev_per_atom": 0.299, "dft_energy_ev_per_cell": -25.0, "sg": "Pmmm (47)", "magmom_total_mub_per_fu": 3.9, "volume_a3_per_atom": 14.28, "lattice_angstrom": [[3.211, 0.000, 0.000], [0.000, 4.267, 0.000], [0.000, 0.000, 4.170]], "species": ["In", "Co", "Ru", "Co"], "fractional_positions": [[0.500, 0.000, 0.500], [0.500, 0.500, 0.000], [0.000, 0.500, 0.500], [0.000, 0.000, 0.000]]}

{"formula": "HfSbP2Cl", "functional": "PBE", "state": "relaxed", "dft_energy_ev_per_cell": -27.1, "sg": "P4/mmm (123)", "magmom_total_mub_per_fu": 0.0, "volume_a3_per_atom": 24.81, "formation_energy_uncorrected_ev_per_atom": -0.062, "lattice_angstrom": [[5.105, 0.000, 0.000], [0.000, 5.105, 0.000], [0.000, 0.000, 4.760]], "species": ["Sb", "Hf", "P", "Cl", "P"], "fractional_positions": [[0.500, 0.500, 0.500], [0.000, 0.000, 0.000], [0.500, 0.000, 0.000], [0.000, 0.000, 0.500], [0.000, 0.500, 0.000]]}

{"formula": "ZnPRh4", "functional": "PBE", "state": "relaxed", "formation_energy_ev_per_atom": 0.380, "dft_energy_ev_per_cell": -33.8, "sg": "F-43m (216)", "magmom_total_mub_per_fu": 0.0, "volume_a3_per_atom": 15.72, "lattice_angstrom": [[0.000, 3.613, 3.613], [3.613, 0.000, 3.613], [3.613, 3.613, 0.000]], "species": ["Rh", "Zn", "P", "Rh", "Rh", "Rh"], "fractional_positions": [[0.875, 0.375, 0.375], [0.750, 0.750, 0.750], [0.000, 0.000, 0.000], [0.375, 0.375, 0.375], [0.375, 0.875, 0.375], [0.375, 0.375, 0.875]]}

{"formula": "Si3Te", "functional": "PBE", "state": "relaxed", "dft_energy_ev_per_cell": -16.5, "sg": "R-3m (166)", "magmom_total_mub_per_fu": 0.0, "volume_a3_per_atom": 18.86, "formation_energy_uncorrected_ev_per_atom": 0.725, "lattice_angstrom": [[5.439, -0.008, -0.023], [-2.427, 4.867, -0.023], [-2.427, -3.917, 2.889]], "species": ["Te", "Si", "Si", "Si"], "fractional_positions": [[0.000, 0.500, 0.500], [0.500, 0.000, 0.500], [0.500, 0.500, 0.000], [0.000, 0.000, 0.000]]}

{"formula": "HgPb2", "functional": "PBE", "state": "relaxed", "formation_energy_ev_per_atom": 0.182, "dft_energy_ev_per_cell": -28.7, "sg": "Pa-3 (205)", "magmom_total_mub_per_fu": 0.0, "volume_a3_per_atom": 32.40, "lattice_angstrom": [[7.299, 0.000, 0.000], [0.000, 7.299, 0.000], [0.000, 0.000, 7.299]], "species": ["Pb", "Pb", "Pb", "Pb", "Pb", "Hg", "Pb", "Hg", "Hg", "Hg", "Pb", "Pb"], "fractional_positions": [[0.629, 0.629, 0.371], [0.629, 0.871, 0.871], [0.871, 0.371, 0.871], [0.371, 0.371, 0.629], [0.871, 0.129, 0.371], [0.000, 0.000, 0.000], [0.129, 0.871, 0.629], [0.500, 0.000, 0.500], [0.500, 0.500, 0.000], [0.000, 0.500, 0.500], [0.129, 0.629, 0.129], [0.371, 0.129, 0.129]]}